(1)
Here is HoSc2Pa after structural relaxation from Alexandria via LeMat-Bulk. Energies are from PBE-GGA.

* energy: -26.3 eV per formula unit
* ρ: 7.7 Mg/m³

a = 3.3091 Å, b = 3.3091 Å, c = 9.5374 Å
α = 90.00°, β = 90.00°, γ = 90.00°
With the nearest neighbours (Å) after each atom.
Element x y z (fractional)
Sc 0.0000 0.0000 0.2348  4 Pa 3.24, 4 Sc 3.31, 4 Ho 3.45
Sc 0.0000 0.0000 0.7652  4 Pa 3.24, 4 Sc 3.31, 4 Ho 3.45
Ho 0.5000 0.5000 0.5000  4 Ho 3.31, 8 Sc 3.45
Pa 0.5000 0.5000 0.0000  8 Sc 3.24, 4 Pa 3.31

=====

(2)
Here is Ho2ScPa after structural relaxation from Alexandria via LeMat-Bulk. Energies are from PBE-GGA.

* energy: -23.9 eV per formula unit
* ρ: 9.1 Mg/m³

a = 3.4518 Å, b = 5.6439 Å, c = 5.6439 Å
α = 90.00°, β = 90.00°, γ = 90.00°
With the nearest neighbours (Å) after each atom.
Element x y z (fractional)
Ho 0.0000 0.5000 0.0000  4 Pa 3.31, 4 Sc 3.31, 2 Ho 3.45
Ho 0.0000 0.0000 0.5000  4 Pa 3.31, 4 Sc 3.31, 2 Ho 3.45
Sc 0.5000 0.0000 0.0000  8 Ho 3.31, 2 Sc 3.45
Pa 0.5000 0.5000 0.5000  8 Ho 3.31, 2 Pa 3.45

=====

| no. | magnetization (μB per cell) | formation energy from the elements (kJ/mol of atoms) | energy above the lowest structure with this stoichiometry (eV per atom) |
| --- | --- | --- | --- |
| 1 | 0.25 | 10.15 | 0.036 |
| 2 | 0.02 | 27.06 | 0.169 |